# BaSmGe3 (PBE, optimized geometry)
# **VASP energy**: -43.848 eV per cell
data_BaSmGe3
_chemical_formula_sum 'Ba2 Sm2 Ge6'
_cell_length_a 5.193
_cell_length_b 5.193
_cell_length_c 10.487
_cell_angle_alpha 90.00
_cell_angle_beta 90.00
_cell_angle_gamma 90.00
_symmetry_space_group_name_H-M 'I 4 m m'
_symmetry_Int_Tables_number 107
_symmetry_space_group_name_Hall 'I 4 -2'
loop_
_atom_site_label
_atom_site_type_symbol
_atom_site_fract_x
_atom_site_fract_y
_atom_site_fract_z
Ba1 Ba 0.000 0.000 0.000
Sm1 Sm 0.000 0.000 0.640
Ge1 Ge 0.000 0.000 0.353
Ge2 Ge 0.000 0.500 0.276